Record 1
A plane-wave DFT calculation with PBE was carried out for a relaxed structure of Zr3WN.

Computed properties:
distance to the lowest polymorph of the same formula: 2.345 eV/atom
raw formation energy: 1821 meV per atom
total DFT energy (no corrections): -7.563 eV per atom
crystal system: cubic
theoretical density: 6.06 g/cm3

Structure (CIF):
```
data_Zr3WN
_cell_length_a 5.054
_cell_length_b 5.054
_cell_length_c 5.054
_cell_angle_alpha 90.00
_cell_angle_beta 90.00
_cell_angle_gamma 90.00
_space_group_name_H-M_alt 'P 1'
_space_group_IT_number 1
_space_group_name_Hall 'P 1'
loop_
_atom_site_label
_atom_site_fract_x
_atom_site_fract_y
_atom_site_fract_z
_atom_site_occupancy
W1 0.000 0.000 0.000 1
N1 0.500 0.500 0.500 1
Zr1 0.000 0.000 0.500 1
Zr2 0.000 0.500 0.000 1
Zr3 0.500 0.000 0.000 1
```



Record 2
A plane-wave DFT calculation with PBE was carried out for a relaxed structure of CrP2W.

Computed properties:
distance to the lowest polymorph of the same formula: 0.454 eV/atom
E_form: 0.005 eV per atom
total DFT energy (no corrections): -8.344 eV per atom
crystal system: trigonal
theoretical density: 8.94 g/cm3

Structure (CIF):
```
data_CrP2W
_cell_length_a 7.472
_cell_length_b 7.472
_cell_length_c 7.472
_cell_angle_alpha 22.87
_cell_angle_beta 22.87
_cell_angle_gamma 22.87
_space_group_name_H-M_alt 'P 1'
_space_group_IT_number 1
_space_group_name_Hall 'P 1'
loop_
_atom_site_label
_atom_site_fract_x
_atom_site_fract_y
_atom_site_fract_z
_atom_site_occupancy
P1 0.004 0.004 0.004 1
P2 0.251 0.251 0.251 1
W1 0.504 0.504 0.504 1
Cr1 0.742 0.742 0.742 1
```



Record 3
A plane-wave DFT calculation with PBE was carried out for a relaxed structure of LiSc2Ta.

Computed properties:
distance to the lowest polymorph of the same formula: 0.286 eV/atom
E_form: 0.417 eV per atom
total DFT energy (no corrections): -6.190 eV per atom
crystal system: orthorhombic
theoretical density: 5.71 g/cm3

Structure (CIF):
```
data_LiSc2Ta
_cell_length_a 3.103
_cell_length_b 5.321
_cell_length_c 4.896
_cell_angle_alpha 90.00
_cell_angle_beta 90.00
_cell_angle_gamma 90.00
_space_group_name_H-M_alt 'P 1'
_space_group_IT_number 1
_space_group_name_Hall 'P 1'
loop_
_atom_site_label
_atom_site_fract_x
_atom_site_fract_y
_atom_site_fract_z
_atom_site_occupancy
Sc1 0.500 0.500 0.000 1
Sc2 0.000 0.000 0.000 1
Ta1 0.500 0.000 0.500 1
Li1 0.000 0.500 0.500 1
```



Record 4
A plane-wave DFT calculation with PBE was carried out for a relaxed structure of K2AlNi.

Computed properties:
E_form: 0.364 eV per atom
total DFT energy (no corrections): -2.566 eV per atom
crystal system: monoclinic
theoretical density: 1.69 g/cm3

Structure (CIF):
```
data_K2AlNi
_cell_length_a 4.621
_cell_length_b 7.799
_cell_length_c 7.995
_cell_angle_alpha 33.95
_cell_angle_beta 90.00
_cell_angle_gamma 90.00
_space_group_name_H-M_alt 'P 1'
_space_group_IT_number 1
_space_group_name_Hall 'P 1'
loop_
_atom_site_label
_atom_site_fract_x
_atom_site_fract_y
_atom_site_fract_z
_atom_site_occupancy
Ni1 0.500 0.250 0.250 1
K1 0.000 0.114 0.122 1
K2 0.000 0.386 0.378 1
Al1 0.500 0.750 0.750 1
```



Record 5
A plane-wave DFT calculation with PBE was carried out for a relaxed structure of LaTb2Ga4.

Computed properties:
E_form: -0.659 eV per atom
total DFT energy (no corrections): -4.416 eV per atom
crystal system: orthorhombic
theoretical density: 7.18 g/cm3

Structure (CIF):
```
data_LaTb2Ga4
_cell_length_a 4.198
_cell_length_b 4.399
_cell_length_c 9.704
_cell_angle_alpha 103.10
_cell_angle_beta 102.49
_cell_angle_gamma 90.00
_space_group_name_H-M_alt 'P 1'
_space_group_IT_number 1
_space_group_name_Hall 'P 1'
loop_
_atom_site_label
_atom_site_fract_x
_atom_site_fract_y
_atom_site_fract_z
_atom_site_occupancy
Ga1 0.352 0.352 0.703 1
Ga2 0.068 0.568 0.137 1
Ga3 0.648 0.648 0.297 1
Ga4 0.932 0.432 0.863 1
Tb1 0.815 0.815 0.631 1
Tb2 0.185 0.185 0.369 1
La1 0.500 0.000 0.000 1
```



Record 6
A plane-wave DFT calculation with PBE was carried out for a relaxed structure of LaAl2V2.

Computed properties:
distance to the lowest polymorph of the same formula: 0.000 eV/atom
E_form: 0.006 eV per atom
total DFT energy (no corrections): -6.124 eV per atom
crystal system: tetragonal
theoretical density: 4.94 g/cm3

Structure (CIF):
```
data_LaAl2V2
_cell_length_a 3.939
_cell_length_b 3.939
_cell_length_c 6.972
_cell_angle_alpha 73.59
_cell_angle_beta 73.59
_cell_angle_gamma 90.00
_space_group_name_H-M_alt 'P 1'
_space_group_IT_number 1
_space_group_name_Hall 'P 1'
loop_
_atom_site_label
_atom_site_fract_x
_atom_site_fract_y
_atom_site_fract_z
_atom_site_occupancy
V1 0.750 0.250 0.500 1
V2 0.250 0.750 0.500 1
La1 0.000 0.000 0.000 1
Al1 0.388 0.388 0.224 1
Al2 0.612 0.612 0.776 1
```



Record 7
A plane-wave DFT calculation with PBE was carried out for a relaxed structure of Ti12Be3Os5.

Computed properties:
E_form: 0.657 eV per atom
total DFT energy (no corrections): -7.446 eV per atom
crystal system: cubic
theoretical density: 6.66 g/cm3

Structure (CIF):
```
data_Ti12Be3Os5
_cell_length_a 12.626
_cell_length_b 12.626
_cell_length_c 12.626
_cell_angle_alpha 109.47
_cell_angle_beta 109.47
_cell_angle_gamma 109.47
_space_group_name_H-M_alt 'P 1'
_space_group_IT_number 1
_space_group_name_Hall 'P 1'
loop_
_atom_site_label
_atom_site_fract_x
_atom_site_fract_y
_atom_site_fract_z
_atom_site_occupancy
Ti1 0.914 0.833 0.777 1
Ti2 0.582 0.944 0.667 1
Ti3 0.277 0.414 0.833 1
Ti4 0.862 0.586 0.918 1
Ti5 0.082 0.914 0.138 1
Ti6 0.444 0.777 0.862 1
Ti7 0.138 0.723 0.556 1
Ti8 0.638 0.582 0.914 1
Ti9 0.333 0.777 0.414 1
Ti10 0.918 0.086 0.862 1
Ti11 0.056 0.638 0.723 1
Ti12 0.418 0.056 0.333 1
Ti13 0.833 0.918 0.056 1
Ti14 0.777 0.333 0.914 1
Ti15 0.944 0.582 0.167 1
Ti16 0.223 0.556 0.638 1
Ti17 0.556 0.223 0.138 1
Ti18 0.723 0.586 0.167 1
Ti19 0.556 0.333 0.918 1
Ti20 0.918 0.833 0.556 1
Ti21 0.914 0.082 0.638 1
Ti22 0.333 0.556 0.418 1
Ti23 0.138 0.414 0.082 1
Ti24 0.362 0.944 0.777 1
Ti25 0.418 0.362 0.586 1
Ti26 0.082 0.167 0.444 1
Ti27 0.777 0.444 0.362 1
Ti28 0.414 0.277 0.333 1
Ti29 0.862 0.277 0.444 1
Ti30 0.586 0.862 0.418 1
Ti31 0.638 0.056 0.223 1
Ti32 0.167 0.086 0.723 1
Ti33 0.167 0.082 0.944 1
Ti34 0.723 0.138 0.056 1
Ti35 0.223 0.667 0.086 1
Ti36 0.277 0.862 0.944 1
Ti37 0.086 0.918 0.362 1
Ti38 0.586 0.723 0.667 1
Ti39 0.086 0.167 0.223 1
Ti40 0.944 0.362 0.277 1
Ti41 0.667 0.223 0.586 1
Ti42 0.582 0.638 0.414 1
Ti43 0.056 0.418 0.833 1
Ti44 0.362 0.418 0.086 1
Ti45 0.414 0.138 0.582 1
Ti46 0.444 0.667 0.082 1
Ti47 0.833 0.914 0.277 1
Ti48 0.667 0.444 0.582 1
Os1 0.625 0.875 0.250 1
Os2 0.500 0.500 0.500 1
Os3 0.500 0.500 0.000 1
Os4 0.875 0.250 0.625 1
Os5 0.750 0.625 0.375 1
Os6 0.375 0.250 0.125 1
Os7 0.000 0.000 0.000 1
Os8 0.250 0.875 0.125 1
Os9 0.000 0.500 0.500 1
Os10 0.625 0.750 0.875 1
Os11 0.375 0.125 0.750 1
Os12 0.750 0.125 0.875 1
Os13 0.500 0.000 0.500 1
Os14 0.125 0.375 0.250 1
Os15 0.000 0.500 0.000 1
Os16 0.125 0.750 0.375 1
Os17 0.875 0.625 0.750 1
Os18 0.250 0.375 0.625 1
Os19 0.000 0.000 0.500 1
Os20 0.500 0.000 0.000 1
Be1 0.750 0.875 0.625 1
Be2 0.625 0.250 0.375 1
Be3 0.875 0.125 0.250 1
Be4 0.125 0.875 0.750 1
Be5 0.250 0.125 0.375 1
Be6 0.125 0.250 0.875 1
Be7 0.250 0.625 0.875 1
Be8 0.375 0.625 0.250 1
Be9 0.375 0.750 0.625 1
Be10 0.625 0.375 0.750 1
Be11 0.750 0.375 0.125 1
Be12 0.875 0.750 0.125 1
```



Record 8
A plane-wave DFT calculation with PBE was carried out for a relaxed structure of LaPr4Er2.

Computed properties:
distance to the lowest polymorph of the same formula: 0.152 eV/atom
E_form: 0.216 eV per atom
total DFT energy (no corrections): -4.523 eV per atom
crystal system: orthorhombic
theoretical density: 6.89 g/cm3

Structure (CIF):
```
data_LaPr4Er2
_cell_length_a 11.618
_cell_length_b 9.158
_cell_length_c 9.158
_cell_angle_alpha 44.82
_cell_angle_beta 50.63
_cell_angle_gamma 50.63
_space_group_name_H-M_alt 'P 1'
_space_group_IT_number 1
_space_group_name_Hall 'P 1'
loop_
_atom_site_label
_atom_site_fract_x
_atom_site_fract_y
_atom_site_fract_z
_atom_site_occupancy
Pr1 0.241 0.789 0.729 1
Pr2 0.642 0.853 0.353 1
Pr3 0.759 0.771 0.711 1
Pr4 0.241 0.229 0.289 1
Pr5 0.358 0.147 0.647 1
Pr6 0.759 0.211 0.271 1
Pr7 0.847 0.147 0.647 1
Pr8 0.153 0.853 0.353 1
Er1 0.030 0.720 0.220 1
Er2 0.500 0.000 0.000 1
Er3 0.970 0.280 0.780 1
Er4 0.500 0.500 0.500 1
La1 0.500 0.500 0.000 1
La2 0.000 0.500 0.000 1
```



Record 9
A plane-wave DFT calculation with PBE was carried out for a relaxed structure of LaEr5Ru6.

Computed properties:
E_form: -0.337 eV per atom
total DFT energy (no corrections): -7.287 eV per atom
crystal system: orthorhombic
theoretical density: 11.19 g/cm3

Structure (CIF):
```
data_LaEr5Ru6
_cell_length_a 4.807
_cell_length_b 6.794
_cell_length_c 8.305
_cell_angle_alpha 114.15
_cell_angle_beta 106.82
_cell_angle_gamma 90.00
_space_group_name_H-M_alt 'P 1'
_space_group_IT_number 1
_space_group_name_Hall 'P 1'
loop_
_atom_site_label
_atom_site_fract_x
_atom_site_fract_y
_atom_site_fract_z
_atom_site_occupancy
Ru1 0.166 0.917 0.333 1
Ru2 0.834 0.584 0.667 1
Ru3 0.500 0.249 0.000 1
Ru4 0.834 0.083 0.667 1
Ru5 0.500 0.751 0.000 1
Ru6 0.166 0.416 0.333 1
La1 0.000 0.000 0.000 1
Er1 0.666 0.666 0.332 1
Er2 0.329 0.829 0.657 1
Er3 0.671 0.171 0.343 1
Er4 0.000 0.500 0.000 1
Er5 0.334 0.334 0.668 1
```



Record 10
A plane-wave DFT calculation with PBE was carried out for a relaxed structure of AcCu2Ge2.

Computed properties:
distance to the lowest polymorph of the same formula: 0.000 eV/atom
E_form: -0.504 eV per atom
total DFT energy (no corrections): -4.811 eV per atom
crystal system: tetragonal
theoretical density: 8.50 g/cm3

Structure (CIF):
```
data_AcCu2Ge2
_cell_length_a 4.361
_cell_length_b 4.361
_cell_length_c 5.984
_cell_angle_alpha 111.37
_cell_angle_beta 111.37
_cell_angle_gamma 90.00
_space_group_name_H-M_alt 'P 1'
_space_group_IT_number 1
_space_group_name_Hall 'P 1'
loop_
_atom_site_label
_atom_site_fract_x
_atom_site_fract_y
_atom_site_fract_z
_atom_site_occupancy
Ac1 0.000 0.000 0.000 1
Cu1 0.250 0.750 0.500 1
Cu2 0.750 0.250 0.500 1
Ge1 0.371 0.371 0.742 1
Ge2 0.629 0.629 0.258 1
```